# AlZnCl2

A relaxed structure of AlZnCl2 (PBE-GGA, Alexandria via LeMat-Bulk).

a = 3.2555 Å, b = 4.9102 Å, c = 13.5535 Å
α = 90.00°, β = 90.00°, γ = 90.00°
Sites, in units of the cell vectors:
Al 0.0000 0.0000 0.0000
Al 0.5000 0.5000 0.5000
Zn 0.0000 0.0000 0.5000
Zn 0.5000 0.5000 0.0000
Cl 0.0000 0.5000 0.3647
Cl 0.0000 0.5000 0.6353
Cl 0.5000 0.0000 0.1353
Cl 0.5000 0.0000 0.8647

Summary:
DOS at the Fermi energy in states/eV per cell: 5.1
ΔE to the lowest computed polymorph in eV/atom: 0.267
SG: Immm (71)
ρ in g/cm³: 2.50
Energy relative to the elements, uncorrected in eV per atom: -0.42
Total magnetization in μB/atom: 0.000